Entry 1:
{
  "formula": "MgP2Rh",
  "functional": "GGA-PBE",
  "state": "relaxed",
  "cell": [[4.587, -0.002, 0.021], [3.408, 3.070, 0.021], [1.282, 0.492, 4.427]],
  "species": ["Mg", "P", "P", "Rh"],
  "frac_coords": [[0.252, 0.252, 0.220], [0.015, 0.015, 0.963], [0.751, 0.751, 0.707], [0.482, 0.482, 0.609]],
  "mass_density_g_cm3": 5.043,
  "dft_energy_ev_per_atom": -5.187,
  "ef_ev_per_atom": -0.2460,
  "spacegroup": "Cm (8)"
}

---

Entry 2:
{
  "formula": "Mg3P2Rh3",
  "functional": "GGA-PBE",
  "state": "relaxed",
  "cell": [[-4.110, 3.097, -0.977], [0.841, -1.102, -7.033], [-8.363, -10.876, 0.703]],
  "species": ["Mg", "Mg", "Mg", "Mg", "Mg", "Mg", "Mg", "Mg", "Mg", "Mg", "Mg", "Mg", "P", "P", "P", "P", "P", "P", "P", "P", "Rh", "Rh", "Rh", "Rh", "Rh", "Rh", "Rh", "Rh", "Rh", "Rh", "Rh", "Rh"],
  "frac_coords": [[0.111, 0.484, 0.388], [0.611, 0.016, 0.612], [0.889, 0.516, 0.888], [0.389, 0.984, 0.112], [0.889, 0.516, 0.612], [0.389, 0.984, 0.388], [0.111, 0.484, 0.112], [0.611, 0.016, 0.888], [0.597, 0.332, 0.250], [0.097, 0.168, 0.750], [0.403, 0.668, 0.750], [0.903, 0.832, 0.250], [0.898, 0.134, 0.392], [0.398, 0.366, 0.608], [0.102, 0.866, 0.892], [0.602, 0.634, 0.108], [0.102, 0.866, 0.608], [0.602, 0.634, 0.392], [0.898, 0.134, 0.108], [0.398, 0.366, 0.892], [0.108, 0.189, 0.250], [0.608, 0.311, 0.750], [0.892, 0.811, 0.750], [0.392, 0.689, 0.250], [0.604, 0.335, 0.457], [0.104, 0.165, 0.543], [0.396, 0.665, 0.957], [0.896, 0.835, 0.043], [0.396, 0.665, 0.543], [0.896, 0.835, 0.457], [0.604, 0.335, 0.043], [0.104, 0.165, 0.957]],
  "mass_density_g_cm3": 5.711,
  "dft_energy_ev_per_atom": -5.413,
  "ef_ev_per_atom": -0.7061,
  "spacegroup": "Pnma (62)"
}